Entry 1:
Entry from Alexandria: a relaxed PuThRu2 crystal (PBE).

Values from the calculation:
calculated formation energy: -0.23 eV per atom
calculated density: 13.049 g cm⁻³
space-group type: P2/c

a b c (Å): 5.4985 5.8514 11.1788
angles (deg): 106.30 90.00 90.00
With the nearest neighbours (Å) after each atom.
Fractional positions:
Ru  0.1951  0.4824  0.8587  2 Pu 2.58-2.85, 2 Th 2.77-2.78
Th  0.3058  0.4501  0.1393  4 Ru 2.77-3.06
Pu  0.1914  0.0011  0.8691  5 Ru 2.55-2.86
Th  0.3058  0.0499  0.3607  4 Ru 2.77-3.06
Ru  0.3107  0.9066  0.0709  3 Pu 2.55-2.86
Pu  0.1914  0.4989  0.6309  5 Ru 2.55-2.86
Th  0.6942  0.9501  0.6393  4 Ru 2.77-3.06
Ru  0.3107  0.5934  0.4291  3 Pu 2.55-2.86
Ru  0.8049  0.5176  0.1413  2 Pu 2.58-2.85, 2 Th 2.77-2.78
Ru  0.6893  0.0934  0.9291  3 Pu 2.55-2.86
Th  0.6942  0.5499  0.8607  4 Ru 2.77-3.06
Pu  0.8086  0.9989  0.1309  5 Ru 2.55-2.86
Ru  0.8049  0.9824  0.3587  2 Pu 2.58-2.85, 2 Th 2.77-2.78
Pu  0.8086  0.5011  0.3691  5 Ru 2.55-2.86
Ru  0.1951  0.0176  0.6413  2 Pu 2.58-2.85, 2 Th 2.77-2.78
Ru  0.6893  0.4066  0.5709  3 Pu 2.55-2.86



Entry 2:
Entry from Alexandria: a relaxed PuThRu2 crystal (PBE).

Values from the calculation:
calculated formation energy: -0.22 eV per atom
calculated density: 13.451 g cm⁻³
space-group type: P4/mmm

a b c (Å): 3.4916 4.8968 4.8968
angles (deg): 90.00 90.00 90.00
With the nearest neighbours (Å) after each atom.
Fractional positions:
Pu  0.5000  0.0000  0.0000  8 Ru 3.01
Th  0.5000  0.5000  0.5000  8 Ru 3.01
Ru  0.0000  0.5000  0.0000  4 Pu 3.01, 4 Th 3.01
Ru  0.0000  0.0000  0.5000  4 Pu 3.01, 4 Th 3.01



Entry 3:
Entry from Alexandria: a relaxed PuThRu crystal (PBE).

Values from the calculation:
calculated formation energy: 0.26 eV per atom
calculated density: 13.764 g cm⁻³
energy relative to the lowest polymorph listed for this composition: 394 meV/atom
space-group type: P2_1/m

a b c (Å): 3.5672 4.2950 9.1260
angles (deg): 84.83 90.00 90.00
With the nearest neighbours (Å) after each atom.
Fractional positions:
Ru  0.2500  0.7460  0.5273  4 Th 2.72-2.82, 4 Ru 2.83-2.84
Th  0.7500  0.7854  0.2864  4 Ru 2.72-2.82, 1 Pu 2.95
Pu  0.7500  0.6677  0.9732  2 Pu 2.32
Ru  0.7500  0.2540  0.4727  4 Th 2.72-2.82, 4 Ru 2.83-2.84
Pu  0.2500  0.3323  0.0268  2 Pu 2.32
Th  0.2500  0.2146  0.7136  4 Ru 2.72-2.82, 1 Pu 2.95



no.,magnetization (μB per cell)
1,16.52
2,4.71
3,2.18